# BaCoSiO4 | the Open Quantum Materials Database | PBE with a Hubbard U | optimized geometry
data_BaCoSiO4
_chemical_formula_sum 'Ba1 Co1 Si1 O4'
_cell_length_a 5.321
_cell_length_b 5.321
_cell_length_c 5.034
_cell_angle_alpha 117.80
_cell_angle_beta 117.80
_cell_angle_gamma 63.43
_space_group_name_H-M_alt 'P 1'
_space_group_IT_number 1
loop_
_space_group_symop_operation_xyz
'x,y,z'
loop_
_atom_site_label
_atom_site_type_symbol
_atom_site_fract_x
_atom_site_fract_y
_atom_site_fract_z
_atom_site_occupancy
Ba1 Ba 0.000 0.000 0.000 1
Co1 Co 0.288 0.288 0.787 1
Si1 Si 0.532 0.532 0.535 1
O1 O 0.333 0.333 0.212 1
O2 O 0.401 0.876 0.541 1
O3 O 0.519 0.519 0.850 1
O4 O 0.876 0.401 0.541 1
# Symmetry = No. 8
# Offset from the most stable computed form = 0 meV per atom